# 1
A plane-wave DFT calculation with PBE-GGA was carried out for an optimized crystal structure of Sm4AuSe2S.

Cell lengths 7.272, 4.091, 7.275 Å; angles 90.00, 108.97, 90.00 degrees
Space group P2/m (No. 10)
Asymmetric unit:
Sm: 0.242 0.000 0.239
Sm: 0.246 0.500 0.753
Au: 0.000 0.000 0.500
Se: 0.500 0.000 0.000
Se: 0.500 0.500 0.500
S: 0.000 0.500 0.000

- Total moment: 0.00 μB/f.u.
- Final energy: -5.756 eV/atom
- N(E_F): 5.31 states/eV per cell
- Formation energy from raw total energies: -1.600 eV per atom

# 2
A plane-wave DFT calculation with PBE-GGA was carried out for an optimized crystal structure of NaAl11Pd.

Cell lengths 5.185, 12.947, 7.237 Å; angles 90.00, 108.50, 90.00 degrees
Space group C2/m (No. 12)
Asymmetric unit:
Na: 0.000 0.000 0.000
Al: 0.000 0.000 0.500
Al: 0.109 0.391 0.224
Al: 0.171 0.177 0.355
Al: 0.250 0.250 0.000
Pd: 0.000 0.500 0.500

- Total moment: 0.00 μB/f.u.
- Final energy: -3.764 eV/atom
- N(E_F): 7.55 states/eV per cell

# 3
A plane-wave DFT calculation with PBE-GGA was carried out for an optimized crystal structure of Mg4ReW.

Cell lengths 7.406, 7.406, 7.406 Å; angles 90.00, 90.00, 90.00 degrees
Space group F-43m (No. 216)
Asymmetric unit:
Mg: 0.125 0.125 0.125
Re: 0.250 0.250 0.750
W: 0.000 0.000 0.500

- Total moment: 0.00 μB/f.u.
- Final energy: -4.509 eV/atom
- N(E_F): 13.66 states/eV per cell

# 4
A plane-wave DFT calculation with PBE-GGA was carried out for an optimized crystal structure of La3Rh4Pb4.

Cell lengths 4.292, 7.994, 15.405 Å; angles 90.00, 90.00, 90.00 degrees
Space group Immm (No. 71)
Asymmetric unit:
La: 0.000 0.000 0.000
La: 0.000 0.500 0.116
Rh: 0.000 0.000 0.221
Rh: 0.000 0.192 0.500
Pb: 0.000 0.300 0.330

- Total moment: 0.00 μB/f.u.
- Final energy: -5.888 eV/atom
- N(E_F): 13.87 states/eV per cell

# 5
A plane-wave DFT calculation with PBE-GGA was carried out for an optimized crystal structure of MoOsBr2.

Cell lengths 3.166, 4.173, 14.806 Å; angles 90.00, 90.00, 90.00 degrees
Space group Immm (No. 71)
Asymmetric unit:
Mo: 0.000 0.000 0.000
Os: 0.000 0.000 0.500
Br: 0.000 0.500 0.355

- Total moment: 0.06 μB/f.u.
- Final energy: -5.651 eV/atom
- N(E_F): 7.58 states/eV per cell
- Formation energy from raw total energies: 0.700 eV per atom
- E above lowest polymorph: 525.5 meV per atom

# 6
A plane-wave DFT calculation with PBE-GGA was carried out for an optimized crystal structure of Sc2MnS.

Cell lengths 3.3557, 3.3557, 23.2030 Å; angles 90.00, 90.00, 120.00 degrees
Space group R-3m (No. 166, hexagonal axes)
Asymmetric unit:
Sc: 0.0000 0.0000 0.0952
Mn: 0.0000 0.0000 0.0000
S: 0.0000 0.0000 0.5000

- Total moment: 0.00 μB/f.u.
- Final energy: -6.692 eV/atom
- N(E_F): 11.39 states/eV per cell
- Formation energy from raw total energies: -0.202 eV per atom

# 7
A plane-wave DFT calculation with PBE-GGA was carried out for an optimized crystal structure of LiPu2Sn3Pt4.

Cell lengths 4.128, 4.128, 12.424 Å; angles 90.00, 90.00, 90.00 degrees
Space group P-4m2 (No. 115)
Asymmetric unit:
Li: 0.000 0.000 0.000
Pu: 0.000 0.500 0.769
Sn: 0.000 0.500 0.362
Sn: 0.500 0.500 0.000
Pt: 0.000 0.000 0.500
Pt: 0.000 0.500 0.146
Pt: 0.500 0.500 0.500

- Total moment: 11.34 μB/f.u.
- Final energy: -7.293 eV/atom
- N(E_F): 26.66 states/eV per cell

# 8
A plane-wave DFT calculation with PBE-GGA was carried out for an optimized crystal structure of K2Hg5Bi.

Cell lengths 5.450, 18.769, 10.549 Å; angles 90.00, 90.00, 90.00 degrees
Space group Cmcm (No. 63)
Asymmetric unit:
K: 0.000 0.000 0.000
K: 0.000 0.205 0.250
Hg: 0.000 0.192 0.603
Hg: 0.000 0.351 0.507
Hg: 0.000 0.409 0.250
Bi: 0.000 0.433 0.750

- Total moment: 0.00 μB/f.u.
- Final energy: -1.164 eV/atom
- N(E_F): 14.09 states/eV per cell

# 9
A plane-wave DFT calculation with PBE-GGA was carried out for an optimized crystal structure of Ca4ErAg5.

Cell lengths 3.699, 3.699, 18.371 Å; angles 90.00, 90.00, 90.00 degrees
Space group P4/mmm (No. 123)
Asymmetric unit:
Ca: 0.000 0.000 0.100
Ca: 0.000 0.000 0.303
Er: 0.000 0.000 0.500
Ag: 0.500 0.500 0.000
Ag: 0.500 0.500 0.201
Ag: 0.500 0.500 0.411

- Total moment: 0.00 μB/f.u.
- Final energy: -2.998 eV/atom
- N(E_F): 7.58 states/eV per cell

# 10
A plane-wave DFT calculation with PBE-GGA was carried out for an optimized crystal structure of NdDyC.

Cell lengths 5.060, 5.060, 5.348 Å; angles 90.00, 90.00, 90.00 degrees
Space group P4/nmm (No. 129, origin choice 2)
Asymmetric unit:
Nd: 0.250 0.250 0.012
Dy: 0.250 0.750 0.500
C: 0.250 0.250 0.560

- Total moment: 0.00 μB/f.u.
- Final energy: -6.270 eV/atom
- N(E_F): 3.57 states/eV per cell
- E above lowest polymorph: 103.9 meV per atom

# 11
A plane-wave DFT calculation with PBE-GGA was carried out for an optimized crystal structure of NdGdScGa.

Cell lengths 7.478, 7.478, 7.478 Å; angles 90.00, 90.00, 90.00 degrees
Space group F-43m (No. 216)
Asymmetric unit:
Nd: 0.000 0.000 0.000
Gd: 0.000 0.000 0.500
Sc: 0.250 0.250 0.250
Ga: 0.250 0.250 0.750

- Total moment: 8.25 μB/f.u.
- Final energy: -7.208 eV/atom
- N(E_F): 18.29 states/eV per cell

# 12
A plane-wave DFT calculation with PBE-GGA was carried out for an optimized crystal structure of MgZn2IrO6.

Cell lengths 5.2367, 5.2367, 13.7642 Å; angles 90.00, 90.00, 120.00 degrees
Space group R3 (No. 146, hexagonal axes)
Asymmetric unit:
Mg: 0.0000 0.0000 0.0000
Zn: 0.0000 0.0000 0.2209
Zn: 0.0000 0.0000 0.7228
Ir: 0.0000 0.0000 0.5049
O: 0.0180 0.7120 0.5914
O: 0.0368 0.3371 0.0955

- Total moment: 0.95 μB/f.u.
- Final energy: -5.570 eV/atom
- N(E_F): 18.57 states/eV per cell
- Formation energy from raw total energies: -1.295 eV per atom

- Which of these has the highest N(E_F)?
  LiPu2Sn3Pt4